First-principles (PBE-GGA) data for Sc2TaInH after structural relaxation, as listed in Alexandria via LeMat-Bulk.

abc: 4.461 4.461 4.235
angles: 90.00 90.00 90.00
Space group P4/mmm (No. 123)
Symmetry-distinct sites (fractional):
Sc  0.000  0.500  0.000 (multiplicity 2)
Ta  0.000  0.000  0.500 (multiplicity 1)
In  0.500  0.500  0.500 (multiplicity 1)
H  0.000  0.000  0.000 (multiplicity 1)

Results
The total energy is -6.339 eV per atom. The density of states at the Fermi level comes out at 2.9 states/eV/f.u.



First-principles (PBE-GGA) data for ScTa2InH after structural relaxation, as listed in Alexandria via LeMat-Bulk.

abc: 4.138 4.138 4.687
angles: 90.00 90.00 90.00
Space group P4/mmm (No. 123)
Symmetry-distinct sites (fractional):
Sc  0.000  0.000  0.000 (multiplicity 1)
Ta  0.000  0.500  0.500 (multiplicity 2)
In  0.500  0.500  0.000 (multiplicity 1)
H  0.000  0.000  0.500 (multiplicity 1)

Results
The total energy is -7.317 eV per atom. The density of states at the Fermi level comes out at 3.1 states/eV/f.u.



First-principles (PBE-GGA) data for Sc2TlInH after structural relaxation, as listed in Alexandria via LeMat-Bulk.

abc: 4.472 4.472 4.642
angles: 90.00 90.00 90.00
Space group P4/mmm (No. 123)
Symmetry-distinct sites (fractional):
Sc  0.000  0.500  0.000 (multiplicity 2)
Tl  0.000  0.000  0.500 (multiplicity 1)
In  0.500  0.500  0.500 (multiplicity 1)
H  0.500  0.500  0.000 (multiplicity 1)

Results
The total energy is -4.444 eV per atom. The density of states at the Fermi level comes out at 2.8 states/eV/f.u.



First-principles (PBE-GGA) data for ScTlIn2H after structural relaxation, as listed in Alexandria via LeMat-Bulk.

abc: 4.783 4.783 4.396
angles: 90.00 90.00 90.00
Space group P4/mmm (No. 123)
Symmetry-distinct sites (fractional):
Sc  0.000  0.000  0.000 (multiplicity 1)
Tl  0.500  0.500  0.000 (multiplicity 1)
In  0.000  0.500  0.500 (multiplicity 2)
H  0.000  0.000  0.500 (multiplicity 1)

Results
The total energy is -3.535 eV per atom. The density of states at the Fermi level comes out at 1.8 states/eV/f.u.



First-principles (PBE-GGA) data for Sc4TlInH after structural relaxation, as listed in Alexandria via LeMat-Bulk.

abc: 6.049 15.824 6.042
angles: 90.00 90.00 90.00
Space group Cmcm (No. 63)
Symmetry-distinct sites (fractional):
Sc  0.000  0.075  0.250 (multiplicity 4)
Sc  0.000  0.423  0.250 (multiplicity 4)
Sc  0.250  0.250  0.000 (multiplicity 8)
Tl  0.000  0.112  0.750 (multiplicity 4)
In  0.000  0.387  0.750 (multiplicity 4)
H  0.000  0.287  0.250 (multiplicity 4)

Results
The total energy is -5.165 eV per atom. The density of states at the Fermi level comes out at 4.7 states/eV/f.u.



First-principles (PBE-GGA) data for Sc2TlInH after structural relaxation, as listed in Alexandria via LeMat-Bulk.

abc: 5.607 5.607 3.708
angles: 90.00 90.00 90.00
Space group P4/mmm (No. 123)
Symmetry-distinct sites (fractional):
Sc  0.000  0.500  0.000 (multiplicity 2)
Tl  0.000  0.000  0.500 (multiplicity 1)
In  0.500  0.500  0.000 (multiplicity 1)
H  0.500  0.500  0.500 (multiplicity 1)

Results
The total energy is -3.844 eV per atom. The density of states at the Fermi level comes out at 6.2 states/eV/f.u.



First-principles (PBE-GGA) data for In2HSe after structural relaxation, as listed in Alexandria via LeMat-Bulk.

abc: 6.023 6.023 10.648
angles: 90.00 90.00 90.00
Space group I-42d (No. 122)
Symmetry-distinct sites (fractional):
In  0.169  0.250  0.125 (multiplicity 8)
H  0.000  0.000  0.000 (multiplicity 4)
Se  0.000  0.000  0.500 (multiplicity 4)

Results
The total energy is -3.050 eV per atom. The density of states at the Fermi level comes out at 0.8 states/eV/f.u.



First-principles (PBE-GGA) data for InHSe2 after structural relaxation, as listed in Alexandria via LeMat-Bulk.

abc: 4.032 7.137 8.015
angles: 84.88 75.74 88.77
Space group P1 (No. 1)
Symmetry-distinct sites (fractional):
In  0.000  0.000  0.000 (multiplicity 1)
In  0.305  0.965  0.391 (multiplicity 1)
H  0.428  0.688  0.695 (multiplicity 1)
H  0.636  0.186  0.693 (multiplicity 1)
Se  0.091  0.779  0.697 (multiplicity 1)
Se  0.446  0.758  0.128 (multiplicity 1)
Se  0.549  0.249  0.871 (multiplicity 1)
Se  0.830  0.193  0.320 (multiplicity 1)

Results
The total energy is -3.593 eV per atom.



First-principles (PBE-GGA) data for InHSe2 after structural relaxation, as listed in Alexandria via LeMat-Bulk.

abc: 3.816 3.816 5.639
angles: 90.00 90.00 90.00
Space group P4/mmm (No. 123)
Symmetry-distinct sites (fractional):
In  0.000  0.000  0.000 (multiplicity 1)
H  0.500  0.500  0.500 (multiplicity 1)
Se  0.000  0.000  0.500 (multiplicity 1)
Se  0.500  0.500  0.000 (multiplicity 1)

Results
The total energy is -2.852 eV per atom. The density of states at the Fermi level comes out at 2.6 states/eV/f.u.



First-principles (PBE-GGA) data for InHSe2 after structural relaxation, as listed in Alexandria via LeMat-Bulk.

abc: 7.076 7.076 7.154
angles: 90.00 90.00 90.00
Space group I4/mcm (No. 140)
Symmetry-distinct sites (fractional):
In  0.000  0.500  0.250 (multiplicity 4)
H  0.000  0.000  0.250 (multiplicity 4)
Se  0.195  0.305  0.000 (multiplicity 8)

Results
The total energy is -2.828 eV per atom. The density of states at the Fermi level comes out at 2.8 states/eV/f.u.



First-principles (PBE-GGA) data for In3H2Se after structural relaxation, as listed in Alexandria via LeMat-Bulk.

abc: 4.078 11.624 10.302
angles: 90.00 94.32 90.00
Space group C2/c (No. 15)
Symmetry-distinct sites (fractional):
In  0.000  0.142  0.250 (multiplicity 4)
In  0.050  0.125  0.949 (multiplicity 8)
H  0.006  0.291  0.926 (multiplicity 8)
Se  0.000  0.411  0.250 (multiplicity 4)

Results
The total energy is -3.002 eV per atom. The density of states at the Fermi level comes out at 0.9 states/eV/f.u.



First-principles (PBE-GGA) data for In12H3Se5 after structural relaxation, as listed in Alexandria via LeMat-Bulk.

abc: 16.182 16.182 16.182
angles: 90.00 90.00 90.00
Space group Ia-3d (No. 230)
Symmetry-distinct sites (fractional):
In  0.023  0.104  0.649 (multiplicity 96)
H  0.000  0.250  0.125 (multiplicity 24)
Se  0.000  0.000  0.000 (multiplicity 16)
Se  0.000  0.250  0.375 (multiplicity 24)

Results
The total energy is -2.985 eV per atom. The density of states at the Fermi level comes out at 12.1 states/eV/f.u.



First-principles (PBE-GGA) data for InHSe2 after structural relaxation, as listed in Alexandria via LeMat-Bulk.

abc: 5.881 5.881 9.403
angles: 90.00 90.00 90.00
Space group I4_1/amd (No. 141, origin choice 2)
Symmetry-distinct sites (fractional):
In  0.000  0.250  0.375 (multiplicity 4)
H  0.000  0.250  0.875 (multiplicity 4)
Se  0.000  0.250  0.058 (multiplicity 8)

Results
The total energy is -3.224 eV per atom. The density of states at the Fermi level comes out at 1.4 states/eV/f.u.



First-principles (PBE-GGA) data for InHSe2 after structural relaxation, as listed in Alexandria via LeMat-Bulk.

abc: 4.105 4.107 7.553
angles: 103.88 91.95 119.18
Space group P1 (No. 1)
Symmetry-distinct sites (fractional):
In  0.000  0.000  0.000 (multiplicity 1)
H  0.326  0.027  0.362 (multiplicity 1)
Se  0.112  0.233  0.353 (multiplicity 1)
Se  0.605  0.229  0.830 (multiplicity 1)

Results
The total energy is -3.588 eV per atom. The density of states at the Fermi level comes out at 0.0 states/eV/f.u.



First-principles (PBE-GGA) data for InHSe2 after structural relaxation, as listed in Alexandria via LeMat-Bulk.

abc: 7.133 12.033 6.634
angles: 90.00 118.89 90.00
Space group C2/c (No. 15)
Symmetry-distinct sites (fractional):
In  0.000  0.239  0.250 (multiplicity 4)
H  0.000  0.151  0.750 (multiplicity 4)
Se  0.173  0.123  0.633 (multiplicity 8)

Results
The total energy is -3.532 eV per atom. The density of states at the Fermi level comes out at 0.0 states/eV/f.u.



First-principles (PBE-GGA) data for InHSe2 after structural relaxation, as listed in Alexandria via LeMat-Bulk.

abc: 7.580 7.348 7.841
angles: 90.00 118.01 90.00
Space group Cc (No. 9)
Symmetry-distinct sites (fractional):
In  0.000  0.134  0.000 (multiplicity 4)
H  0.305  0.229  0.854 (multiplicity 4)
Se  0.156  0.150  0.375 (multiplicity 4)
Se  0.175  0.378  0.859 (multiplicity 4)

Results
The total energy is -3.480 eV per atom. The density of states at the Fermi level comes out at 0.2 states/eV/f.u.



First-principles (PBE-GGA) data for InHSe2 after structural relaxation, as listed in Alexandria via LeMat-Bulk.

abc: 7.196 3.542 7.087
angles: 90.00 118.22 90.00
Space group C2/m (No. 12)
Symmetry-distinct sites (fractional):
In  0.000  0.000  0.000 (multiplicity 2)
H  0.000  0.500  0.500 (multiplicity 2)
Se  0.184  0.000  0.732 (multiplicity 4)

Results
The total energy is -3.072 eV per atom. The density of states at the Fermi level comes out at 1.1 states/eV/f.u.



First-principles (PBE-GGA) data for InHSe2 after structural relaxation, as listed in Alexandria via LeMat-Bulk.

abc: 4.262 20.457 4.470
angles: 90.00 90.00 90.00
Space group Cmcm (No. 63)
Symmetry-distinct sites (fractional):
In  0.000  0.145  0.250 (multiplicity 4)
H  0.000  0.394  0.250 (multiplicity 4)
Se  0.000  0.321  0.250 (multiplicity 4)
Se  0.000  0.473  0.750 (multiplicity 4)

Results
The total energy is -3.305 eV per atom. The density of states at the Fermi level comes out at 2.1 states/eV/f.u.



First-principles (PBE-GGA) data for InHSe2 after structural relaxation, as listed in Alexandria via LeMat-Bulk.

abc: 15.061 4.166 7.278
angles: 90.00 113.63 90.00
Space group C2 (No. 5)
Symmetry-distinct sites (fractional):
In  0.181  0.000  0.289 (multiplicity 4)
H  0.077  0.680  0.894 (multiplicity 4)
Se  0.128  0.992  0.908 (multiplicity 4)
Se  0.130  0.500  0.456 (multiplicity 4)

Results
The total energy is -3.586 eV per atom. The density of states at the Fermi level comes out at 0.0 states/eV/f.u.



First-principles (PBE-GGA) data for InHSe2 after structural relaxation, as listed in Alexandria via LeMat-Bulk.

abc: 6.929 10.880 5.664
angles: 90.00 90.00 90.00
Space group Ima2 (No. 46)
Symmetry-distinct sites (fractional):
In  0.000  0.000  0.000 (multiplicity 4)
H  0.250  0.023  0.468 (multiplicity 4)
Se  0.250  0.126  0.278 (multiplicity 4)
Se  0.250  0.625  0.258 (multiplicity 4)

Results
The total energy is -3.578 eV per atom. The density of states at the Fermi level comes out at 0.0 states/eV/f.u.